Compound: BP2BrO
Source: the Alexandria database
Functional: PBE-GGA
Structure: optimized geometry

Properties
Relative energy among the computed polymorphs, meV/atom: 0
Mass density, Mg/m³: 3.18
E, eV per atom: -4.4355
D(E_F), states/eV/cell: 2.66

Cell and atoms, written as extended XYZ:
```
5
Lattice="5.848 0.000 0.000 0.000 5.848 0.000 0.000 0.000 2.575" Properties=species:S:1:pos:R:3 pbc="T T T"
B 0.000 0.000 0.000
P 0.000 2.924 0.000
P 2.924 0.000 0.000
Br 2.924 2.924 1.287
O 0.000 0.000 1.287
```

***

Compound: BP2BrO
Source: the Alexandria database
Functional: PBE-GGA
Structure: optimized geometry

Properties
Relative energy among the computed polymorphs, meV/atom: 1602
Mass density, Mg/m³: 3.13
E, eV per atom: -2.8330
D(E_F), states/eV/cell: 4.26

Cell and atoms, written as extended XYZ:
```
5
Lattice="4.938 0.000 0.000 0.000 4.938 0.000 0.000 0.000 3.673" Properties=species:S:1:pos:R:3 pbc="T T T"
B 0.000 0.000 0.000
P 0.000 2.469 1.836
P 2.469 0.000 1.836
Br 2.469 2.469 1.836
O 2.469 2.469 0.000
```

***

Compound: PaBBrO4
Source: the Alexandria database
Functional: PBE-GGA
Structure: optimized geometry

Properties
Mass density, Mg/m³: 6.37
E, eV per atom: -7.8521
D(E_F), states/eV/cell: 0.09

Cell and atoms, written as extended XYZ:
```
14
Lattice="5.481 -2.965 0.000 5.481 2.965 0.000 -1.082 0.000 6.191" Properties=species:S:1:pos:R:3 pbc="T T T"
Pa 1.754 0.000 1.937
Pa 8.125 0.000 4.254
B 0.642 0.000 4.685
B 9.238 0.000 1.506
Br 4.162 0.000 5.059
Br 5.717 0.000 1.132
O -0.272 0.000 1.666
O 3.139 1.782 2.238
O 0.997 0.000 6.097
O 6.741 1.782 3.953
O 3.139 -1.782 2.238
O 8.882 0.000 0.093
O 6.741 -1.782 3.953
O 10.151 0.000 4.525
```

***

Compound: BPbBrO2
Source: the Alexandria database
Functional: PBE-GGA
Structure: optimized geometry

Properties
Mass density, Mg/m³: 4.77
E, eV per atom: -5.9343
D(E_F), states/eV/cell: 0.00

Cell and atoms, written as extended XYZ:
```
10
Lattice="6.998 0.000 0.000 0.000 4.401 0.000 -0.467 0.000 7.453" Properties=species:S:1:pos:R:3 pbc="T T T"
B 0.774 1.100 3.169
B 5.756 3.301 4.284
Pb 2.205 3.301 5.438
Pb 4.326 1.100 2.015
Br 1.397 1.100 7.313
Br 5.133 3.301 0.140
O -0.091 3.301 4.792
O 1.949 1.100 3.677
O 4.581 3.301 3.775
O 6.621 1.100 2.660
```

***

Compound: BPdBr2O
Source: the Alexandria database
Functional: PBE-GGA
Structure: optimized geometry

Properties
Mass density, Mg/m³: 4.30
E, eV per atom: -2.8874
D(E_F), states/eV/cell: 3.71

Cell and atoms, written as extended XYZ:
```
5
Lattice="5.468 0.000 0.000 0.000 5.468 0.000 0.000 0.000 3.782" Properties=species:S:1:pos:R:3 pbc="T T T"
B 0.000 0.000 0.000
Pd 2.734 2.734 0.000
Br 0.000 2.734 1.891
Br 2.734 0.000 1.891
O 2.734 2.734 1.891
```

***

Compound: Pr4BBr2O
Source: the Alexandria database
Functional: PBE-GGA
Structure: optimized geometry

Properties
Mass density, Mg/m³: 6.46
E, eV per atom: -5.6457
D(E_F), states/eV/cell: 2.19

Cell and atoms, written as extended XYZ:
```
8
Lattice="6.598 0.000 0.000 0.000 3.897 0.000 -2.310 0.000 7.503" Properties=species:S:1:pos:R:3 pbc="T T T"
Pr 1.060 0.000 1.375
Pr -0.163 1.949 6.098
Pr 4.452 1.949 1.405
Pr 3.229 0.000 6.128
B 3.299 0.000 0.000
Br -1.155 0.000 3.752
Br 2.144 1.949 3.752
O 0.000 1.949 0.000
```

***

Compound: Rb2BBr6O
Source: the Alexandria database
Functional: PBE-GGA
Structure: optimized geometry

Properties
Mass density, Mg/m³: 3.69
E, eV per atom: -2.8019
D(E_F), states/eV/cell: 11.69

Cell and atoms, written as extended XYZ:
```
10
Lattice="-3.822 3.822 5.212 3.822 -3.822 5.212 3.822 3.822 -5.212" Properties=species:S:1:pos:R:3 pbc="T T T"
Rb 3.822 0.000 2.606
Rb 0.000 3.822 2.606
B 0.000 0.000 0.000
Br 1.545 1.545 0.000
Br 2.277 -2.277 5.212
Br 0.000 0.000 3.091
Br 0.000 0.000 7.334
Br -2.277 2.277 5.212
Br 2.277 2.277 5.212
O 0.000 0.000 5.212
```

***

Compound: Rb2BBrO
Source: the Alexandria database
Functional: PBE-GGA
Structure: optimized geometry

Properties
Mass density, Mg/m³: 2.90
E, eV per atom: -2.6168
D(E_F), states/eV/cell: 10.33

Cell and atoms, written as extended XYZ:
```
5
Lattice="5.993 0.000 0.000 0.000 5.993 0.000 0.000 0.000 4.425" Properties=species:S:1:pos:R:3 pbc="T T T"
Rb 0.000 2.997 0.000
Rb 2.997 0.000 0.000
B 0.000 0.000 0.000
Br 0.000 0.000 2.212
O 2.997 2.997 2.212
```

***

Compound: ReB2BrO
Source: the Alexandria database
Functional: PBE-GGA
Structure: optimized geometry

Properties
Mass density, Mg/m³: 6.10
E, eV per atom: -4.9417
D(E_F), states/eV/cell: 6.91

Cell and atoms, written as extended XYZ:
```
5
Lattice="4.083 0.000 0.000 0.000 4.083 0.000 0.000 0.000 4.955" Properties=species:S:1:pos:R:3 pbc="T T T"
Re 0.000 0.000 0.000
B 0.000 2.042 0.000
B 2.042 0.000 0.000
Br 0.000 0.000 2.478
O 2.042 2.042 2.478
```

***

Compound: BRhBrO2
Source: the Alexandria database
Functional: PBE-GGA
Structure: optimized geometry

Properties
Mass density, Mg/m³: 5.40
E, eV per atom: -3.7076
D(E_F), states/eV/cell: 2.50

Cell and atoms, written as extended XYZ:
```
5
Lattice="3.653 0.000 0.000 0.000 3.653 0.000 0.000 0.000 5.197" Properties=species:S:1:pos:R:3 pbc="T T T"
B 0.000 0.000 0.000
Rh 1.827 1.827 0.000
Br 0.000 0.000 2.598
O 0.000 1.827 2.598
O 1.827 0.000 2.598
```

***

Compound: BRuBr2O
Source: the Alexandria database
Functional: PBE-GGA
Structure: optimized geometry

Properties
Mass density, Mg/m³: 4.79
E, eV per atom: -3.7038
D(E_F), states/eV/cell: 9.96

Cell and atoms, written as extended XYZ:
```
5
Lattice="4.997 0.000 0.000 0.000 4.997 0.000 0.000 0.000 3.997" Properties=species:S:1:pos:R:3 pbc="T T T"
B 0.000 0.000 0.000
Ru 0.000 0.000 1.999
Br 0.000 2.499 1.999
Br 2.499 0.000 1.999
O 2.499 2.499 0.000
```

***

Compound: BSe2BrO
Source: the Alexandria database
Functional: PBE-GGA
Structure: optimized geometry

Properties
Relative energy among the computed polymorphs, meV/atom: 106
Mass density, Mg/m³: 5.04
E, eV per atom: -2.8633
D(E_F), states/eV/cell: 5.35

Cell and atoms, written as extended XYZ:
```
5
Lattice="4.445 0.000 0.000 0.000 4.445 0.000 0.000 0.000 4.416" Properties=species:S:1:pos:R:3 pbc="T T T"
B 0.000 0.000 0.000
Se 0.000 2.223 0.000
Se 2.223 0.000 0.000
Br 0.000 0.000 2.208
O 2.223 2.223 2.208
```